Here is BeIrRu after structural relaxation from Alexandria. Energies are from PBE-GGA.

a b c (Å): 2.7053 2.7053 5.9893
angles (deg): 90.00 90.00 120.00
Element x y z (fractional)
Ru 0.3333 0.6667 0.6827
Ir 0.6667 0.3333 0.3153
Be 0.0000 0.0000 0.0020

Properties
**SG**: P3m1
**Final energy**: -7.332 eV per atom
**Excess energy over the best structure of this formula in the dataset**: 222.0 meV per atom
**Total magnetic moment**: 0.0 μB per cell